(1)
Density functional theory data (GGA-PBE) for a geometry-optimized Ta4GeC2S structure.

Summary:
Space group: P-6m2 (187)
Total energy, eV/cell: -79.311

POSCAR file:
```
Ta4GeC2S
1.0
-2.2465 2.0591 -1.2202
0.4840 -2.9244 -1.4105
-8.3444 -4.8464 7.1845
C Ta S Ge
2 4 1 1
direct
0.3333 0.6667 0.7572
0.3333 0.6667 0.2428
0.0000 0.0000 0.6638
0.6667 0.3333 0.1487
0.0000 0.0000 0.3362
0.6667 0.3333 0.8513
0.0000 0.0000 0.0000
0.6667 0.3333 0.5000
```

---

(2)
Density functional theory data (GGA-PBE) for a geometry-optimized Ta4GeC2S structure.

Summary:
Space group: P-6m2 (187)
Total energy, eV/cell: -79.311

POSCAR file:
```
Ta4GeC2S
1.0
3.2825 0.0000 0.0000
-1.6412 2.8427 0.0000
0.0000 0.0000 12.0302
Ta C Ge S
4 2 1 1
direct
0.6667 0.3333 0.1638
0.0000 0.0000 0.3513
0.0000 0.0000 0.6487
0.6667 0.3333 0.8362
0.3333 0.6667 0.7428
0.3333 0.6667 0.2572
0.0000 0.0000 0.0000
0.6667 0.3333 0.5000
```

---

(3)
Density functional theory data (GGA-PBE) for a geometry-optimized Tm4GeC2S structure.

Summary:
Space group: P-6m2 (187)
Total energy, eV/cell: -52.397

POSCAR file:
```
Tm4GeC2S
1.0
-1.0856 -3.3347 -0.7764
3.3773 0.9992 -0.7051
3.8324 -4.1516 12.4726
C Tm S Ge
2 4 1 1
direct
0.6667 0.3333 0.2667
0.6667 0.3333 0.7333
0.3333 0.6667 0.3634
0.0000 0.0000 0.1709
0.0000 0.0000 0.8291
0.3333 0.6667 0.6366
0.0000 0.0000 0.5000
0.3333 0.6667 0.0000
```

---

(4)
Density functional theory data (GGA-PBE) for a geometry-optimized Zr4GeC2S structure.

Summary:
Space group: P-6m2 (187)
Total energy, eV/cell: -69.934

POSCAR file:
```
Zr4GeC2S
1.0
-1.6156 2.3304 1.8469
0.0646 -3.2245 1.0248
10.9757 2.3348 6.6550
C Zr Ge S
2 4 1 1
direct
0.3333 0.6667 0.7382
0.3333 0.6667 0.2618
0.6667 0.3333 0.1663
0.0000 0.0000 0.3594
0.0000 0.0000 0.6406
0.6667 0.3333 0.8337
0.0000 0.0000 0.0000
0.6667 0.3333 0.5000
```

---

(5)
Density functional theory data (GGA-PBE) for a geometry-optimized Zr4GeC2S structure.

Summary:
Space group: P-6m2 (187)
Total energy, eV/cell: -69.933

POSCAR file:
```
Zr4GeC2S
1.0
3.3841 0.0000 0.0000
-1.6920 2.9307 0.0000
0.0000 0.0000 13.0463
S Zr C Ge
1 4 2 1
direct
0.0000 0.0000 0.0000
0.6667 0.3333 0.1406
0.0000 0.0000 0.6663
0.0000 0.0000 0.3337
0.6667 0.3333 0.8594
0.3333 0.6667 0.2382
0.3333 0.6667 0.7618
0.6667 0.3333 0.5000
```

---

(6)
Density functional theory data (GGA-PBE) for a geometry-optimized Zr4GeSbC2 structure.

Summary:
Space group: P-6m2 (187)
Total energy, eV/cell: -67.674

POSCAR file:
```
Zr4GeSbC2
1.0
3.3877 0.0000 0.0000
-1.6938 2.9338 0.0000
0.0000 0.0000 14.0005
C Zr Ge Sb
2 4 1 1
direct
0.6667 0.3333 0.2440
0.6667 0.3333 0.7560
0.3333 0.6667 0.1539
0.0000 0.0000 0.3341
0.0000 0.0000 0.6659
0.3333 0.6667 0.8461
0.0000 0.0000 0.0000
0.3333 0.6667 0.5000
```

---

(7)
Density functional theory data (GGA-PBE) for a geometry-optimized Sc2Ta4Ge3C3 structure.

Summary:
Space group: C2/c (15)
Total energy, eV/cell: -218.059

POSCAR file:
```
Sc2Ta4Ge3C3
1.0
4.7922 -2.7690 0.0000
4.7922 2.7690 0.0000
-3.2384 0.0000 13.3665
Sc Ta C Ge
4 8 6 6
direct
0.3729 0.5339 0.5997
0.5338 0.3729 0.0996
0.4662 0.6271 0.9004
0.6271 0.4662 0.4003
0.3043 0.1434 0.4123
0.9777 0.7969 0.4124
0.7969 0.9777 0.9124
0.2031 0.0223 0.0876
0.8566 0.6957 0.0877
0.1434 0.3043 0.9123
0.0223 0.2031 0.5876
0.6957 0.8566 0.5877
0.5000 0.0000 0.0000
0.6697 0.1600 0.4999
0.8400 0.3303 0.0001
0.0000 0.5000 0.5000
0.1600 0.6697 0.9999
0.3303 0.8400 0.5001
0.0544 0.9456 0.7500
0.9456 0.0544 0.2500
0.4147 0.2244 0.7487
0.7756 0.5853 0.7513
0.2244 0.4147 0.2487
0.5853 0.7756 0.2513
```

---

(8)
Density functional theory data (GGA-PBE) for a geometry-optimized Sc4Ge3W2C3 structure.

Summary:
Space group: C2/c (15)
Total energy, eV/cell: -199.713

POSCAR file:
```
Sc4Ge3W2C3
1.0
4.8384 -2.8118 0.0000
4.8384 2.8118 0.0000
-3.2117 0.0000 13.2973
Ge Sc C W
6 8 6 4
direct
0.1414 0.8586 0.2500
0.8586 0.1414 0.7500
0.4150 0.2997 0.2513
0.5850 0.7003 0.7487
0.2997 0.4150 0.7513
0.7003 0.5850 0.2487
0.9599 0.8106 0.9034
0.6978 0.8752 0.0968
0.1248 0.3022 0.4032
0.8752 0.6978 0.5968
0.3022 0.1248 0.9032
0.0401 0.1894 0.0966
0.8106 0.9599 0.4034
0.1894 0.0401 0.5966
0.3406 0.8181 0.0000
0.5000 0.0000 0.5000
0.0000 0.5000 0.0000
0.8181 0.3406 0.5000
0.6594 0.1819 0.0000
0.1819 0.6594 0.5000
0.6516 0.4752 0.9212
0.3484 0.5248 0.0788
0.5248 0.3484 0.5788
0.4752 0.6516 0.4212
```

---

(9)
Density functional theory data (GGA-PBE) for a geometry-optimized Zr4SiGeC2 structure.

Summary:
Space group: P-6m2 (187)
Total energy, eV/cell: -68.902

POSCAR file:
```
Zr4SiGeC2
1.0
3.3320 0.0000 0.0000
-1.6660 2.8856 0.0000
0.0000 0.0000 13.7200
Zr Ge C Si
4 1 2 1
direct
0.6667 0.3333 0.6586
0.6667 0.3333 0.3414
0.3333 0.6667 0.8465
0.3333 0.6667 0.1535
0.3333 0.6667 0.5000
0.0000 0.0000 0.7516
0.0000 0.0000 0.2484
0.6667 0.3333 0.0000
```

---

(10)
Density functional theory data (GGA-PBE) for a geometry-optimized SnGeW4C2 structure.

Summary:
Space group: P-6m2 (187)
Total energy, eV/cell: -77.129

POSCAR file:
```
SnGeW4C2
1.0
3.1914 0.0000 0.0000
-1.5957 2.7638 0.0000
0.0000 0.0000 12.9682
W Ge C Sn
4 1 2 1
direct
0.6667 0.3333 0.6504
0.3333 0.6667 0.1786
0.3333 0.6667 0.8214
0.6667 0.3333 0.3496
0.3333 0.6667 0.5000
0.0000 0.0000 0.7394
0.0000 0.0000 0.2606
0.6667 0.3333 0.0000
```

---

(11)
Density functional theory data (GGA-PBE) for a geometry-optimized Ta5Ge3C structure.

Summary:
Space group: P6_3/mcm (193)
Total energy, eV/cell: -172.260

POSCAR file:
```
Ta5Ge3C
1.0
7.6069 0.0000 0.0000
-3.8034 6.5877 0.0000
0.0000 0.0000 5.5298
Ta Ge C
10 6 2
direct
0.2295 0.0000 0.2500
0.7705 0.0000 0.7500
0.6667 0.3333 0.0000
0.0000 0.7705 0.7500
0.0000 0.2295 0.2500
0.7705 0.7705 0.2500
0.3333 0.6667 0.0000
0.2295 0.2295 0.7500
0.3333 0.6667 0.5000
0.6667 0.3333 0.5000
0.0000 0.4054 0.7500
0.4054 0.4054 0.2500
0.5946 0.0000 0.2500
0.4054 0.0000 0.7500
0.5946 0.5946 0.7500
0.0000 0.5946 0.2500
0.0000 0.0000 0.5000
0.0000 0.0000 0.0000
```

---

(12)
Density functional theory data (GGA-PBE) for a geometry-optimized Ta4Ge3W2C3 structure.

Summary:
Space group: C2/c (15)
Total energy, eV/cell: -236.590

POSCAR file:
```
Ta4Ge3W2C3
1.0
4.8412 -2.7986 0.0000
4.8412 2.7986 0.0000
-3.2230 0.0000 12.4302
Ta W Ge C
8 4 6 6
direct
0.0297 0.2001 0.0959
0.6978 0.8646 0.0959
0.9703 0.7999 0.9041
0.8646 0.6978 0.5959
0.3022 0.1354 0.9041
0.1354 0.3022 0.4041
0.2001 0.0297 0.5959
0.7999 0.9703 0.4041
0.6383 0.4711 0.9151
0.5289 0.3617 0.5849
0.3617 0.5289 0.0849
0.4711 0.6383 0.4151
0.7302 0.5842 0.2509
0.8975 0.1025 0.7500
0.2698 0.4158 0.7491
0.4158 0.2698 0.2491
0.1025 0.8975 0.2500
0.5842 0.7302 0.7509
0.0000 0.5000 0.0000
0.8421 0.3293 0.5000
0.5000 0.0000 0.5000
0.3293 0.8421 0.0000
0.6707 0.1579 0.0000
0.1579 0.6707 0.5000
```

---

(13)
Density functional theory data (GGA-PBE) for a geometry-optimized Ta2Ge3W4C3 structure.

Summary:
Space group: C2/c (15)
Total energy, eV/cell: -235.779

POSCAR file:
```
Ta2Ge3W4C3
1.0
-0.2872 3.0079 4.6326
-4.6140 2.8105 1.1841
-2.8073 -11.8407 4.1999
C W Ta Ge
6 8 4 6
direct
0.6625 0.1764 0.4999
0.5000 0.0000 0.0000
0.1764 0.6625 0.9999
0.3375 0.8236 0.5001
0.0000 0.5000 0.5000
0.8236 0.3375 0.0001
0.1925 0.0336 0.0880
0.0336 0.1925 0.5880
0.8075 0.9664 0.9120
0.9664 0.8075 0.4120
0.6956 0.8664 0.5875
0.3044 0.1336 0.4125
0.1336 0.3044 0.9125
0.8664 0.6956 0.0875
0.5323 0.3638 0.0982
0.6362 0.4677 0.4018
0.3638 0.5323 0.5982
0.4677 0.6362 0.9018
0.7690 0.5826 0.7492
0.9355 0.0645 0.2500
0.0645 0.9355 0.7500
0.2310 0.4174 0.2508
0.5826 0.7690 0.2492
0.4174 0.2310 0.7508
```

---

(14)
Density functional theory data (GGA-PBE) for a geometry-optimized Y4Ta2Ge3C3 structure.

Summary:
Space group: C2/c (15)
Total energy, eV/cell: -197.192

POSCAR file:
```
Y4Ta2Ge3C3
1.0
5.1646 -3.0084 0.0000
5.1646 3.0084 0.0000
-3.6322 0.0000 13.8668
Ta Ge C Y
4 6 6 8
direct
0.4742 0.6503 0.9243
0.3497 0.5258 0.5757
0.5258 0.3497 0.0757
0.6503 0.4742 0.4243
0.3254 0.4174 0.2529
0.5826 0.6746 0.2471
0.6746 0.5826 0.7471
0.1638 0.8362 0.7500
0.8362 0.1638 0.2500
0.4174 0.3254 0.7529
0.0000 0.5000 0.5000
0.5000 0.0000 0.0000
0.7987 0.3511 0.0005
0.2013 0.6489 0.9995
0.3511 0.7987 0.5005
0.6489 0.2013 0.4995
0.8799 0.7024 0.1026
0.1201 0.2976 0.8974
0.7024 0.8799 0.6026
0.8073 0.9547 0.8975
0.9547 0.8073 0.3975
0.1927 0.0453 0.1025
0.0453 0.1927 0.6025
0.2976 0.1201 0.3974
```

---

(15)
Density functional theory data (GGA-PBE) for a geometry-optimized Y2Ta4Ge3C3 structure.

Summary:
Space group: C2/c (15)
Total energy, eV/cell: -217.117

POSCAR file:
```
Y2Ta4Ge3C3
1.0
4.9315 -2.8371 0.0000
4.9315 2.8371 0.0000
-3.4822 0.0000 13.5977
C Ge Y Ta
6 6 4 8
direct
0.0000 0.5000 0.0000
0.5000 0.0000 0.5000
0.1526 0.6735 0.5000
0.6735 0.1526 0.0000
0.8474 0.3265 0.5000
0.3265 0.8474 0.0000
0.0610 0.9390 0.7500
0.9390 0.0610 0.2500
0.4120 0.1111 0.2475
0.8889 0.5880 0.2525
0.1111 0.4120 0.7475
0.5880 0.8889 0.7525
0.4589 0.6189 0.3855
0.3811 0.5411 0.1145
0.6189 0.4589 0.8855
0.5411 0.3811 0.6145
0.2085 0.0162 0.5814
0.7915 0.9838 0.4186
0.1503 0.3039 0.4185
0.0162 0.2085 0.0814
0.9838 0.7915 0.9186
0.3039 0.1503 0.9185
0.8497 0.6961 0.5815
0.6961 0.8497 0.0815
```

---

(16)
Density functional theory data (GGA-PBE) for a geometry-optimized Ta4ZnGeC2 structure.

Summary:
Space group: P-6m2 (187)
Total energy, eV/cell: -75.123

POSCAR file:
```
Ta4ZnGeC2
1.0
3.1792 0.0000 0.0000
-1.5896 2.7533 0.0000
0.0000 0.0000 13.1846
Ta C Ge Zn
4 2 1 1
direct
0.6667 0.3333 0.1532
0.0000 0.0000 0.3342
0.0000 0.0000 0.6658
0.6667 0.3333 0.8468
0.3333 0.6667 0.2456
0.3333 0.6667 0.7544
0.0000 0.0000 0.0000
0.6667 0.3333 0.5000
```

---

(17)
Density functional theory data (GGA-PBE) for a geometry-optimized Zr4Ta2Ge3C3 structure.

Summary:
Space group: C2/c (15)
Total energy, eV/cell: -216.283

POSCAR file:
```
Zr4Ta2Ge3C3
1.0
4.9142 -2.8399 0.0000
4.9142 2.8399 0.0000
-3.3049 0.0000 13.5789
C Ta Zr Ge
6 4 8 6
direct
0.6625 0.1754 0.5000
0.8246 0.3375 0.0000
0.0000 0.5000 0.5000
0.1754 0.6625 0.0000
0.5000 0.0000 0.0000
0.3375 0.8246 0.5000
0.5280 0.3569 0.0842
0.6431 0.4720 0.4158
0.4720 0.6431 0.9158
0.3569 0.5280 0.5842
0.1303 0.3002 0.9026
0.6998 0.8697 0.5974
0.1951 0.0372 0.0974
0.9628 0.8049 0.4026
0.3002 0.1303 0.4026
0.8049 0.9628 0.9026
0.0372 0.1951 0.5974
0.8697 0.6998 0.0974
0.2873 0.4183 0.2509
0.4183 0.2873 0.7509
0.7127 0.5817 0.7491
0.5817 0.7127 0.2491
0.1228 0.8772 0.7500
0.8772 0.1228 0.2500
```

---

(18)
Density functional theory data (GGA-PBE) for a geometry-optimized Zr4TlGeC2 structure.

Summary:
Space group: P-6m2 (187)
Total energy, eV/cell: -65.321

POSCAR file:
```
Zr4TlGeC2
1.0
3.3703 0.0000 0.0000
-1.6852 2.9188 0.0000
0.0000 0.0000 14.4364
Zr C Ge Tl
4 2 1 1
direct
0.3333 0.6667 0.8488
0.0000 0.0000 0.3246
0.3333 0.6667 0.1512
0.0000 0.0000 0.6754
0.6667 0.3333 0.7604
0.6667 0.3333 0.2396
0.0000 0.0000 0.0000
0.3333 0.6667 0.5000
```